Record 1
A geometry-optimized La2Dy7Ho structure, computed with GGA-PBE.

Unit cell a=6.1977 b=7.1596 c=8.0205 alpha=77.14 beta=74.95 gamma=73.58
Space group P-1 (No. 2)
One atom of each set of equivalent atoms:
La 0.2007 0.2988 0.1017 (multiplicity 2)
Dy 0.0000 0.0000 0.5000 (multiplicity 1)
Dy 0.1989 0.7995 0.1026 (multiplicity 2)
Dy 0.3979 0.1015 0.6961 (multiplicity 2)
Dy 0.3987 0.6009 0.6966 (multiplicity 2)
Ho 0.0000 0.5000 0.5000 (multiplicity 1)

Output
DFT formation energy, kJ/mol of formula units: 24
Final energy, eV/cell: -46.402
Magnetic moment, μB/f.u.: 0.02
Fermi-level density of states, states/eV/cell: 14.03

***

Record 2
A geometry-optimized LaDy6Ho4 structure, computed with GGA-PBE.

Unit cell a=7.6892 b=7.6892 c=12.9467 alpha=90.00 beta=90.00 gamma=90.00
Space group I-42m (No. 121)
One atom of each set of equivalent atoms:
La 0.0000 0.0000 0.0000 (multiplicity 2)
Dy 0.0000 0.5000 0.0000 (multiplicity 4)
Dy 0.2497 0.2497 0.1876 (multiplicity 8)
Ho 0.1633 0.1633 0.4241 (multiplicity 8)

Output
DFT formation energy, kJ/mol of formula units: 457
Final energy, eV/cell: -92.235
Magnetic moment, μB/f.u.: 0.00
Fermi-level density of states, states/eV/cell: 32.36

***

Record 3
A geometry-optimized LaDy7Ho12 structure, computed with GGA-PBE.

Unit cell a=11.2531 b=11.2531 c=11.2531 alpha=90.00 beta=90.00 gamma=90.00
Space group Im-3m (No. 229)
One atom of each set of equivalent atoms:
La 0.0000 0.0000 0.0000 (multiplicity 2)
Dy 0.0000 0.0000 0.5000 (multiplicity 6)
Dy 0.2500 0.2500 0.2500 (multiplicity 8)
Ho 0.0000 0.2575 0.2575 (multiplicity 24)

Output
DFT formation energy, kJ/mol of formula units: 1350
Final energy, eV/cell: -156.172
Magnetic moment, μB/f.u.: 0.00
Fermi-level density of states, states/eV/cell: 50.43

***

Record 4
A geometry-optimized La2DyHo3 structure, computed with GGA-PBE.

Unit cell a=9.0329 b=9.9127 c=9.0677 alpha=90.00 beta=101.44 gamma=90.00
Space group C2/c (No. 15)
One atom of each set of equivalent atoms:
La 0.1250 0.2500 0.1252 (multiplicity 8)
Dy 0.0000 0.0835 0.7500 (multiplicity 4)
Ho 0.0000 0.4169 0.7500 (multiplicity 4)
Ho 0.2500 0.0834 0.4999 (multiplicity 8)

Output
DFT formation energy, kJ/mol of formula units: 41
Final energy, eV/cell: -111.056
Magnetic moment, μB/f.u.: 0.00
Fermi-level density of states, states/eV/cell: 37.69

***

Record 5
A geometry-optimized La3Dy2Ho6 structure, computed with GGA-PBE.

Unit cell a=3.5946 b=3.5946 c=95.8709 alpha=90.00 beta=90.00 gamma=120.00
Space group R-3m (No. 166, hexagonal axes)
One atom of each set of equivalent atoms:
La 0.0000 0.0000 0.0000 (multiplicity 3)
La 0.0000 0.0000 0.2719 (multiplicity 6)
Dy 0.0000 0.0000 0.4553 (multiplicity 6)
Ho 0.0000 0.0000 0.0923 (multiplicity 6)
Ho 0.0000 0.0000 0.1815 (multiplicity 6)
Ho 0.0000 0.0000 0.3640 (multiplicity 6)

Output
DFT formation energy, kJ/mol of formula units: 22
Final energy, eV/cell: -153.663
Magnetic moment, μB/f.u.: 0.00
Fermi-level density of states, states/eV/cell: 42.38

***

Record 6
A geometry-optimized La2Dy3Ho4 structure, computed with GGA-PBE.

Unit cell a=3.5992 b=3.5992 c=26.4691 alpha=90.00 beta=90.00 gamma=120.00
Space group P3m1 (No. 156)
One atom of each set of equivalent atoms:
La 0.0000 0.0000 0.0000 (multiplicity 1)
La 0.0000 0.0000 0.2258 (multiplicity 1)
Dy 0.0000 0.0000 0.7813 (multiplicity 1)
Dy 0.3333 0.6667 0.1155 (multiplicity 1)
Dy 0.3333 0.6667 0.4627 (multiplicity 1)
Ho 0.0000 0.0000 0.3583 (multiplicity 1)
Ho 0.0000 0.0000 0.5695 (multiplicity 1)
Ho 0.3333 0.6667 0.6749 (multiplicity 1)
Ho 0.3333 0.6667 0.8873 (multiplicity 1)

Output
DFT formation energy, kJ/mol of formula units: 44
Final energy, eV/cell: -41.515
Magnetic moment, μB/f.u.: 0.04
Fermi-level density of states, states/eV/cell: 16.27

***

Record 7
A geometry-optimized La8Dy3Ho2 structure, computed with GGA-PBE.

Unit cell a=13.6395 b=11.8276 c=6.1565 alpha=90.00 beta=112.76 gamma=90.00
Space group C2/m (No. 12)
One atom of each set of equivalent atoms:
La 0.0853 0.0000 0.2361 (multiplicity 4)
La 0.1389 0.5000 0.6124 (multiplicity 4)
La 0.1617 0.2617 0.1494 (multiplicity 8)
Dy 0.0000 0.2268 0.5000 (multiplicity 4)
Dy 0.0000 0.5000 0.0000 (multiplicity 2)
Ho 0.1866 0.0000 0.8198 (multiplicity 4)

Output
DFT formation energy, kJ/mol of formula units: 180
Final energy, eV/cell: -121.032
Magnetic moment, μB/f.u.: 0.00
Fermi-level density of states, states/eV/cell: 42.72

***

Record 8
A geometry-optimized LaDy3Ho4 structure, computed with GGA-PBE.

Unit cell a=11.3338 b=7.2809 c=6.2792 alpha=90.00 beta=90.00 gamma=90.00
Space group Pmn2_1 (No. 31)
One atom of each set of equivalent atoms:
La 0.0000 0.1257 0.0000 (multiplicity 2)
Dy 0.0000 0.8719 0.5029 (multiplicity 2)
Dy 0.2491 0.1272 0.3367 (multiplicity 4)
Ho 0.0000 0.3784 0.5038 (multiplicity 2)
Ho 0.0000 0.6235 0.0032 (multiplicity 2)
Ho 0.2476 0.6233 0.3370 (multiplicity 4)

Output
DFT formation energy, kJ/mol of formula units: 13
Final energy, eV/cell: -73.823
Magnetic moment, μB/f.u.: 0.00
Fermi-level density of states, states/eV/cell: 26.56

***

Record 9
A geometry-optimized La2Dy4Ho structure, computed with GGA-PBE.

Unit cell a=7.1942 b=8.0426 c=8.8226 alpha=111.28 beta=90.17 gamma=102.85
Space group P1 (No. 1)
One atom of each set of equivalent atoms:
La 0.0000 0.0000 0.0000 (multiplicity 1)
La 0.0707 0.2862 0.4308 (multiplicity 1)
La 0.5709 0.2848 0.4300 (multiplicity 1)
La 0.7119 0.8490 0.2834 (multiplicity 1)
Dy 0.2121 0.8500 0.2844 (multiplicity 1)
Dy 0.3560 0.4274 0.1391 (multiplicity 1)
Dy 0.4268 0.7172 0.5774 (multiplicity 1)
Dy 0.4986 0.9968 0.9977 (multiplicity 1)
Dy 0.6405 0.5665 0.8558 (multiplicity 1)
Dy 0.7842 0.1412 0.7167 (multiplicity 1)
Dy 0.8567 0.4263 0.1392 (multiplicity 1)
Dy 0.9300 0.7157 0.5759 (multiplicity 1)
Ho 0.1429 0.5672 0.8569 (multiplicity 1)
Ho 0.2866 0.1411 0.7165 (multiplicity 1)

Output
DFT formation energy, kJ/mol of formula units: 17
Final energy, eV/cell: -65.326
Magnetic moment, μB/f.u.: 0.00
Fermi-level density of states, states/eV/cell: 20.36

***

Record 10
A geometry-optimized La4DyHo structure, computed with GGA-PBE.

Unit cell a=11.4315 b=6.0918 c=6.0776 alpha=90.00 beta=90.00 gamma=90.00
Space group C2/m (No. 12)
One atom of each set of equivalent atoms:
La 0.1563 0.0000 0.0008 (multiplicity 4)
La 0.1564 0.5000 0.4995 (multiplicity 4)
Dy 0.0000 0.5000 0.0000 (multiplicity 2)
Ho 0.0000 0.0000 0.5000 (multiplicity 2)

Output
DFT formation energy, kJ/mol of formula units: 55
Final energy, eV/cell: -56.646
Magnetic moment, μB/f.u.: 0.00
Fermi-level density of states, states/eV/cell: 23.66

***

Record 11
A geometry-optimized La2Dy3Ho9 structure, computed with GGA-PBE.

Unit cell a=6.7340 b=8.4651 c=9.2197 alpha=65.69 beta=72.18 gamma=77.36
Space group P1 (No. 1)
One atom of each set of equivalent atoms:
La 0.0000 0.0000 0.0000 (multiplicity 1)
La 0.2828 0.1467 0.5695 (multiplicity 1)
Dy 0.0449 0.1901 0.2618 (multiplicity 1)
Dy 0.6212 0.4791 0.4072 (multiplicity 1)
Dy 0.8999 0.6170 0.9774 (multiplicity 1)
Ho 0.1427 0.5708 0.2868 (multiplicity 1)
Ho 0.1878 0.7597 0.5489 (multiplicity 1)
Ho 0.3363 0.3362 0.8352 (multiplicity 1)
Ho 0.4287 0.7097 0.8592 (multiplicity 1)
Ho 0.4762 0.9027 0.1218 (multiplicity 1)
Ho 0.5680 0.2882 0.1436 (multiplicity 1)
Ho 0.7141 0.8547 0.4311 (multiplicity 1)
Ho 0.7580 0.0436 0.6914 (multiplicity 1)
Ho 0.8523 0.4310 0.7164 (multiplicity 1)

Output
DFT formation energy, kJ/mol of formula units: 24
Final energy, eV/cell: -64.611
Magnetic moment, μB/f.u.: 0.00
Fermi-level density of states, states/eV/cell: 24.58

***

Record 12
A geometry-optimized La9DyHo2 structure, computed with GGA-PBE.

Unit cell a=5.1982 b=5.1982 c=15.5939 alpha=90.00 beta=90.00 gamma=90.00
Space group P4/mmm (No. 123)
One atom of each set of equivalent atoms:
La 0.0000 0.0000 0.0000 (multiplicity 1)
La 0.0000 0.0000 0.3335 (multiplicity 2)
La 0.0000 0.5000 0.1670 (multiplicity 4)
La 0.0000 0.5000 0.5000 (multiplicity 2)
Dy 0.5000 0.5000 0.0000 (multiplicity 1)
Ho 0.5000 0.5000 0.3336 (multiplicity 2)

Output
DFT formation energy, kJ/mol of formula units: 8
Final energy, eV/cell: -58.019
Magnetic moment, μB/f.u.: 0.00
Fermi-level density of states, states/eV/cell: 15.28

***

Record 13
A geometry-optimized LaDy9Ho2 structure, computed with GGA-PBE.

Unit cell a=5.0303 b=5.0303 c=15.1179 alpha=90.00 beta=90.00 gamma=90.00
Space group P4/mmm (No. 123)
One atom of each set of equivalent atoms:
La 0.0000 0.0000 0.0000 (multiplicity 1)
Dy 0.0000 0.5000 0.1707 (multiplicity 4)
Dy 0.0000 0.5000 0.5000 (multiplicity 2)
Dy 0.5000 0.5000 0.0000 (multiplicity 1)
Dy 0.5000 0.5000 0.3360 (multiplicity 2)
Ho 0.0000 0.0000 0.3346 (multiplicity 2)

Output
DFT formation energy, kJ/mol of formula units: 30
Final energy, eV/cell: -55.194
Magnetic moment, μB/f.u.: 0.00
Fermi-level density of states, states/eV/cell: 18.09

***

Record 14
A geometry-optimized La2Dy2Ho3 structure, computed with GGA-PBE.

Unit cell a=3.5753 b=5.5462 c=12.1870 alpha=103.12 beta=98.39 gamma=90.00
Space group P-1 (No. 2)
One atom of each set of equivalent atoms:
La 0.0832 0.0821 0.1632 (multiplicity 2)
Dy 0.3544 0.3557 0.7123 (multiplicity 2)
Ho 0.2737 0.7735 0.5470 (multiplicity 2)
Ho 0.5000 0.5000 0.0000 (multiplicity 1)

Output
DFT formation energy, kJ/mol of formula units: 27
Final energy, eV/cell: -32.515
Magnetic moment, μB/f.u.: 0.00
Fermi-level density of states, states/eV/cell: 10.88

***

Record 15
A geometry-optimized LaDy5Ho8 structure, computed with GGA-PBE.

Unit cell a=9.5397 b=9.5397 c=9.9924 alpha=90.00 beta=90.00 gamma=90.00
Space group I-4 (No. 82)
One atom of each set of equivalent atoms:
La 0.0000 0.0000 0.0000 (multiplicity 2)
Dy 0.0000 0.5000 0.7500 (multiplicity 2)
Dy 0.1111 0.7916 0.4234 (multiplicity 8)
Ho 0.0711 0.6710 0.0972 (multiplicity 8)
Ho 0.0892 0.8250 0.7531 (multiplicity 8)

Output
DFT formation energy, kJ/mol of formula units: 332
Final energy, eV/cell: -122.240
Magnetic moment, μB/f.u.: 0.00
Fermi-level density of states, states/eV/cell: 40.64

***

Record 16
A geometry-optimized LaDy2Ho3 structure, computed with GGA-PBE.

Unit cell a=3.5905 b=18.6094 c=11.5827 alpha=90.00 beta=90.00 gamma=90.00
Space group Cmcm (No. 63)
One atom of each set of equivalent atoms:
La 0.0000 0.2212 0.2500 (multiplicity 4)
Dy 0.0000 0.0000 0.0000 (multiplicity 4)
Dy 0.0000 0.4460 0.7500 (multiplicity 4)
Ho 0.0000 0.1083 0.7500 (multiplicity 4)
Ho 0.0000 0.3349 0.0041 (multiplicity 8)

Output
DFT formation energy, kJ/mol of formula units: 13
Final energy, eV/cell: -110.932
Magnetic moment, μB/f.u.: 0.00
Fermi-level density of states, states/eV/cell: 33.90

***

Record 17
A geometry-optimized LaDy4Ho6 structure, computed with GGA-PBE.

Unit cell a=5.7203 b=9.6164 c=25.6629 alpha=90.00 beta=90.00 gamma=90.00
Space group Cmcm (No. 63)
One atom of each set of equivalent atoms:
La 0.0000 0.1868 0.2500 (multiplicity 4)
Dy 0.0000 0.1575 0.5417 (multiplicity 8)
Dy 0.0000 0.4712 0.6216 (multiplicity 8)
Ho 0.0000 0.1424 0.6800 (multiplicity 8)
Ho 0.0000 0.1892 0.1005 (multiplicity 8)
Ho 0.0000 0.4779 0.7500 (multiplicity 4)
Ho 0.0000 0.5000 0.0000 (multiplicity 4)

Output
DFT formation energy, kJ/mol of formula units: 130
Final energy, eV/cell: -197.818
Magnetic moment, μB/f.u.: 0.00
Fermi-level density of states, states/eV/cell: 79.58

***

Record 18
A geometry-optimized La12DyHo7 structure, computed with GGA-PBE.

Unit cell a=19.5981 b=19.5981 c=6.3622 alpha=90.00 beta=90.00 gamma=120.00
Space group R-3 (No. 148, hexagonal axes)
One atom of each set of equivalent atoms:
La 0.9998 0.4080 0.4993 (multiplicity 18)
La 0.0971 0.5482 0.9764 (multiplicity 18)
Dy 0.0000 0.0000 0.0000 (multiplicity 3)
Ho 0.0000 0.0000 0.5000 (multiplicity 3)
Ho 0.0820 0.1647 0.8029 (multiplicity 18)

Output
DFT formation energy, kJ/mol of formula units: 373
Final energy, eV/cell: -275.740
Magnetic moment, μB/f.u.: 0.00
Fermi-level density of states, states/eV/cell: 82.44

***

Record 19
A geometry-optimized La2Dy8Ho3 structure, computed with GGA-PBE.

Unit cell a=21.1118 b=7.6381 c=5.4964 alpha=90.00 beta=90.01 gamma=90.00
Space group C2/m (No. 12)
One atom of each set of equivalent atoms:
La 0.2402 0.0000 0.4994 (multiplicity 4)
Dy 0.1046 0.2877 0.5002 (multiplicity 8)
Dy 0.1244 0.0000 0.0000 (multiplicity 4)
Dy 0.1581 0.5000 0.0004 (multiplicity 4)
Ho 0.0000 0.0000 0.5000 (multiplicity 2)
Ho 0.0000 0.2884 0.0000 (multiplicity 4)

Output
DFT formation energy, kJ/mol of formula units: 299
Final energy, eV/cell: -114.616
Magnetic moment, μB/f.u.: 0.00
Fermi-level density of states, states/eV/cell: 45.00